[1]
Mg3Tc | PBEsol | relaxed

- Spin magnetization: 0.00 μB per formula unit
- Electronic total energy: -15.3 eV/f.u.
- Energy of formation from the pure elements: 26 kJ per mole of atoms
- Space-group type: Pmm2
- N(E_F): 3.12 states/eV/f.u.

POSCAR file:
```
Mg3Tc
1.0
2.800 0.000 0.000
0.000 4.745 0.000
0.000 0.000 5.304
Mg Tc
3 1
Cartesian
0.000 0.000 0.186
1.400 0.000 2.644
1.400 2.372 4.335
0.000 2.372 1.675
```

=====

[2]
AlRh5 | PBEsol | relaxed

- Spin magnetization: 0.00 μB per formula unit
- Electronic total energy: -46.4 eV/f.u.
- Energy of formation from the pure elements: -26 kJ per mole of atoms
- Space-group type: P-62m
- N(E_F): 5.99 states/eV/f.u.

POSCAR file:
```
AlRh5
1.0
-3.126 -2.565 -1.523
3.142 -2.338 -2.512
-0.994 -1.364 4.336
Rh Al
5 1
Cartesian
0.720 -1.240 0.611
2.089 -1.555 -1.670
-0.661 -0.907 2.883
-1.178 -2.971 1.292
0.200 -3.296 -0.991
-1.563 -1.282 -0.762
```